(1)
The following is a DFT calculation (PBE) of a geometry-optimized ReRu structure.

Summary:
Formation enthalpy at 0 K   398.9 meV/atom
DOS(E_F)   17.75 states/eV per cell
E_tot   -10.4631 eV per atom

Cell: 9.386 9.386 2.776 Å, 90.00 90.00 90.00°
Element x y z (fractional)
Re (0.086, 0.657, 0.000)
Re (0.103, 0.164, 0.500)
Re (0.164, 0.897, 0.500)
Re (0.343, 0.086, 0.000)
Re (0.657, 0.914, 0.000)
Re (0.836, 0.103, 0.500)
Re (0.897, 0.836, 0.500)
Re (0.914, 0.343, 0.000)
Ru (0.181, 0.398, 0.000)
Ru (0.324, 0.588, 0.500)
Ru (0.398, 0.819, 0.000)
Ru (0.412, 0.324, 0.500)
Ru (0.588, 0.676, 0.500)
Ru (0.602, 0.181, 0.000)
Ru (0.676, 0.412, 0.500)
Ru (0.819, 0.602, 0.000)


(2)
The following is a DFT calculation (PBE) of a geometry-optimized Dy4SnRh structure.

Summary:
Formation enthalpy at 0 K   -588.5 meV/atom
DOS(E_F)   10.63 states/eV per cell
E_tot   -5.5490 eV per atom

Cell: 8.054 8.054 6.034 Å, 102.99 102.99 112.81°
Element x y z (fractional)
Dy (0.059, 0.715, 0.931)
Dy (0.215, 0.359, 0.664)
Dy (0.285, 0.941, 0.569)
Dy (0.359, 0.215, 0.164)
Dy (0.641, 0.785, 0.836)
Dy (0.715, 0.059, 0.431)
Dy (0.785, 0.641, 0.336)
Dy (0.941, 0.285, 0.069)
Sn (0.372, 0.628, 0.250)
Sn (0.628, 0.372, 0.750)
Rh (0.000, 0.000, 0.250)
Rh (0.000, 0.000, 0.750)


(3)
The following is a DFT calculation (PBE) of a geometry-optimized PaAl3Pd structure.

Summary:
Formation enthalpy at 0 K   -347.5 meV/atom
Energy relative to the lowest polymorph listed for this composition   0.142 eV per atom
DOS(E_F)   9.12 states/eV per cell
E_tot   -5.5308 eV per atom

Cell: 6.574 6.574 6.574 Å, 131.04 114.04 86.33°
Element x y z (fractional)
Pa (0.263, 0.013, 0.250)
Pa (0.737, 0.987, 0.750)
Al (0.189, 0.000, 0.689)
Al (0.189, 0.500, 0.189)
Al (0.428, 0.678, 0.750)
Al (0.572, 0.322, 0.250)
Al (0.811, 0.000, 0.311)
Al (0.811, 0.500, 0.811)
Pd (0.000, 0.500, 0.500)
Pd (0.500, 0.500, 0.000)


(4)
The following is a DFT calculation (PBE) of a geometry-optimized Nd8Te4RuSe3 structure.

Summary:
Raw formation energy   -33.11 kcal/mol of atoms
DOS(E_F)   11.41 states/eV per cell
E_tot   -5.8381 eV per atom

Cell: 8.819 8.819 8.819 Å, 59.19 59.19 59.19°
Element x y z (fractional)
Nd (0.242, 0.242, 0.242)
Nd (0.257, 0.730, 0.730)
Nd (0.270, 0.270, 0.743)
Nd (0.270, 0.743, 0.270)
Nd (0.730, 0.257, 0.730)
Nd (0.730, 0.730, 0.257)
Nd (0.743, 0.270, 0.270)
Nd (0.758, 0.758, 0.758)
Te (0.000, 0.000, 0.000)
Te (0.000, 0.500, 0.500)
Te (0.500, 0.000, 0.500)
Te (0.500, 0.500, 0.000)
Ru (0.500, 0.500, 0.500)
Se (0.000, 0.000, 0.500)
Se (0.000, 0.500, 0.000)
Se (0.500, 0.000, 0.000)


(5)
The following is a DFT calculation (PBE) of a geometry-optimized MnAlH2 structure.

Summary:
Energy relative to the lowest polymorph listed for this composition   0.001 eV per atom
DOS(E_F)   2.04 states/eV per cell
E_tot   -4.8073 eV per atom

Cell: 3.201 3.201 2.989 Å, 90.00 90.00 90.00°
Element x y z (fractional)
Mn (0.000, 0.000, 0.000)
Al (0.500, 0.500, 0.500)
H (0.000, 0.500, 0.000)
H (0.500, 0.000, 0.000)


(6)
The following is a DFT calculation (PBE) of a geometry-optimized CaLaSbTe2 structure.

Summary:
Raw formation energy   -10.21 kcal/mol of atoms
Energy relative to the lowest polymorph listed for this composition   0.011 eV per atom
DOS(E_F)   3.76 states/eV per cell
E_tot   -3.9095 eV per atom

Cell: 5.717 5.717 5.600 Å, 90.00 90.00 90.00°
Element x y z (fractional)
Ca (0.000, 0.000, 0.000)
La (0.500, 0.500, 0.500)
Sb (0.000, 0.000, 0.500)
Te (0.000, 0.500, 0.000)
Te (0.500, 0.000, 0.000)